[1]
## AcPa2CrC4 (PBE)

Data for crystalline AcPa2CrC4 at its relaxed geometry. Values from VASP.

Quantum ESPRESSO input file:
```
&SYSTEM
  ibrav = 0, nat = 16, ntyp = 4
/
ATOMIC_SPECIES
Ac 227.00 Ac.upf
Pa 231.04 Pa.upf
Cr 52.00 Cr.upf
C 12.01 C.upf
CELL_PARAMETERS angstrom
1.8123 -6.0706 0.0000
1.8123 6.0706 0.0000
0.0000 0.0000 12.1174
ATOMIC_POSITIONS angstrom
Ac 1.8123 4.8700 9.0881
Ac 1.8123 -4.8700 3.0294
Pa 1.8123 1.6107 6.6388
Pa 1.8123 1.6107 11.5373
Pa 1.8123 -1.6107 0.5801
Pa 1.8123 -1.6107 5.4786
Cr 1.8123 4.0308 3.0294
Cr 1.8123 -4.0308 9.0881
C 0.0000 0.0000 0.0000
C 0.0000 0.0000 6.0587
C 1.8123 2.9858 1.4742
C 1.8123 2.9858 4.5845
C 1.8123 1.2335 9.0881
C 1.8123 -1.2335 3.0294
C 1.8123 -2.9858 7.5329
C 1.8123 -2.9858 10.6432
```

DOS at the Fermi energy = 12.245 states/eV per cell
energy of formation = -175 meV/atom
final energy = -8.877 eV/atom

---

[2]
## CsAcC2N4 (PBE)

Data for crystalline CsAcC2N4 at its relaxed geometry. Values from VASP.

Quantum ESPRESSO input file:
```
&SYSTEM
  ibrav = 0, nat = 8, ntyp = 4
/
ATOMIC_SPECIES
Cs 132.91 Cs.upf
Ac 227.00 Ac.upf
C 12.01 C.upf
N 14.01 N.upf
CELL_PARAMETERS angstrom
-2.8779 3.3892 3.9347
2.8779 -3.3892 3.9347
2.8779 3.3892 -3.9347
ATOMIC_POSITIONS angstrom
Cs 0.0000 0.0000 0.0000
Ac 0.0000 0.0000 3.9347
C 2.8779 0.0000 2.3598
C 0.0000 3.3892 1.5748
N 3.8746 -0.7397 2.3615
N 1.8811 0.7397 2.3615
N -0.9967 2.6495 1.5732
N 0.9967 4.1289 1.5732
```

DOS at the Fermi energy = 0.000 states/eV per cell
raw formation energy = -0.54 eV/atom
final energy = -7.624 eV/atom

---

Copy entry 2 word for word.
## CsAcC2N4 (PBE)

Data for crystalline CsAcC2N4 at its relaxed geometry. Values from VASP.

Quantum ESPRESSO input file:
```
&SYSTEM
  ibrav = 0, nat = 8, ntyp = 4
/
ATOMIC_SPECIES
Cs 132.91 Cs.upf
Ac 227.00 Ac.upf
C 12.01 C.upf
N 14.01 N.upf
CELL_PARAMETERS angstrom
-2.8779 3.3892 3.9347
2.8779 -3.3892 3.9347
2.8779 3.3892 -3.9347
ATOMIC_POSITIONS angstrom
Cs 0.0000 0.0000 0.0000
Ac 0.0000 0.0000 3.9347
C 2.8779 0.0000 2.3598
C 0.0000 3.3892 1.5748
N 3.8746 -0.7397 2.3615
N 1.8811 0.7397 2.3615
N -0.9967 2.6495 1.5732
N 0.9967 4.1289 1.5732
```

DOS at the Fermi energy = 0.000 states/eV per cell
raw formation energy = -0.54 eV/atom
final energy = -7.624 eV/atom